First-principles (PBE) data for a relaxed AgTe3 crystal, as listed in the Alexandria database.

abc: 8.9033 14.7557 4.4305
angles: 90.00 90.00 90.00
Last column: nearest neighbours and their distance in Å.
Space group Cmcm (No. 63)
Unique sites:
Ag (0.0000, 0.1373, 0.2500) (multiplicity 4)  2 Te 2.68
Te (0.0000, 0.4268, 0.2500) (multiplicity 4)  6 Te 3.09-3.30
Te (0.2077, 0.3185, 0.7500) (multiplicity 8)  1 Ag 2.68

Density of states at the Fermi level   5.34 states/eV/cell
Uncorrected formation energy   0.162 eV/atom
Volume   36.38 Å³ per atom